CaMgSb2Te, relaxed, DFT GGA-PBE; symmetry = P4/mmm, No. 123; energy relative to the lowest polymorph listed for this composition = 2.24 eV per formula unit; formation energy from raw total energies = 0.37 eV/atom; spin magnetization = 0.00 μB per formula unit; D(E_F) = 5.30 states/eV/f.u.
1.0
5.754 0.000 0.000
0.000 5.754 0.000
0.000 0.000 5.715
Ca Mg Sb Te
1 1 2 1
direct
0.000 0.000 0.000
0.500 0.500 0.500
0.000 0.500 0.000
0.500 0.000 0.000
0.000 0.000 0.500


CaMgSb2Te, relaxed, DFT GGA-PBE; symmetry = P4/mmm, No. 123; energy relative to the lowest polymorph listed for this composition = 0.00 eV per formula unit; formation energy from raw total energies = -0.08 eV/atom; spin magnetization = 0.00 μB per formula unit; D(E_F) = 4.49 states/eV/f.u.
1.0
5.345 0.000 0.000
0.000 5.345 0.000
0.000 0.000 5.702
Ca Mg Sb Te
1 1 2 1
direct
0.000 0.000 0.000
0.500 0.500 0.500
0.000 0.500 0.500
0.500 0.000 0.500
0.500 0.500 0.000


Ca2MgUSb4, relaxed, DFT GGA-PBE; symmetry = P2/m, No. 10; formation energy from raw total energies = -0.50 eV/atom; spin magnetization = 0.62 μB per formula unit; D(E_F) = 7.37 states/eV/f.u.
1.0
7.267 0.000 0.000
0.000 4.559 0.000
-2.860 0.000 7.315
Ca Mg U Sb
2 1 1 4
direct
0.000 0.000 0.000
0.500 0.500 0.000
0.000 0.500 0.500
0.500 0.000 0.500
0.247 0.000 0.727
0.264 0.500 0.269
0.736 0.500 0.731
0.753 0.000 0.273


CaMgZn2Sb, relaxed, DFT GGA-PBE; symmetry = P4/mmm, No. 123; formation energy from raw total energies = 0.82 eV/atom; spin magnetization = 0.00 μB per formula unit; D(E_F) = 4.00 states/eV/f.u.
1.0
5.360 0.000 0.000
0.000 5.360 0.000
0.000 0.000 5.952
Ca Mg Zn Sb
1 1 2 1
direct
0.000 0.000 0.000
0.000 0.000 0.500
0.000 0.500 0.000
0.500 0.000 0.000
0.500 0.500 0.500


Ca3MgSc, relaxed, DFT GGA-PBE; symmetry = Pm-3m, No. 221; energy relative to the lowest polymorph listed for this composition = 0.00 eV per formula unit; energy of formation from the pure elements = 596 meV per atom; spin magnetization = 1.55 μB per formula unit; D(E_F) = 10.16 states/eV/f.u.
1.0
5.911 0.000 0.000
0.000 5.911 0.000
0.000 0.000 5.911
Ca Mg Sc
3 1 1
direct
0.000 0.000 0.500
0.000 0.500 0.000
0.500 0.000 0.000
0.000 0.000 0.000
0.500 0.500 0.500


CaMgSc2, relaxed, DFT GGA-PBE; symmetry = R-3m, No. 166; energy of formation from the pure elements = 281 meV per atom; spin magnetization = 0.00 μB per formula unit; D(E_F) = 7.88 states/eV/f.u.
1.0
1.674 0.966 11.457
-1.674 0.966 11.457
0.000 -1.933 11.457
Ca Mg Sc
1 1 2
direct
0.000 0.000 0.000
0.500 0.500 0.500
0.093 0.093 0.093
0.907 0.907 0.907